Computed, not measured: crystalline CsAl2HgF8 at its relaxed geometry at the PBE-GGA level of DFT.

```
CsAl2HgF8
1.0
5.8476 0.0000 0.0000
2.9238 5.0642 0.0000
2.9238 1.6881 8.0866
F Cs Al Hg
8 1 2 1
direct
0.9800 0.5330 0.1848
0.8195 0.8195 0.5416
0.0200 0.4670 0.8152
0.3022 0.9800 0.1848
0.4670 0.6978 0.8152
0.1805 0.1805 0.4584
0.6978 0.0200 0.8152
0.5330 0.3022 0.1848
0.5000 0.5000 0.5000
0.2507 0.2507 0.2479
0.7493 0.7493 0.7521
0.0000 0.0000 0.0000
```

Output
Calculated volume ... 239 Å³ per cell
Magnetization ... 0.978 μB/f.u.
Formation energy without anion corrections ... -280.8 kJ per mole of atoms
DOS at the Fermi energy ... 0.22 states/eV per atom